Record 1
Tl2CrRu | PBE | optimized geometry

Computed properties:
Polymorph energy (0 for the lowest one)   21.4 kJ per mole of atoms
Formation energy from the elements   0.624 eV per atom
Symmetry   P4/mmm, No. 123
Size of the total moment   4.05 μB/cell

Cell: 3.4146 3.4146 6.5354 Å, 90.00 90.00 90.00°
Last column: nearest neighbours and their distance in Å.
Fractional positions:
Tl: 0.0000 0.0000 0.2411  4 Ru 2.88, 4 Cr 2.95, 1 Tl 3.15
Tl: 0.0000 0.0000 0.7589  4 Ru 2.88, 4 Cr 2.95, 1 Tl 3.15
Cr: 0.5000 0.5000 0.5000  8 Tl 2.95, 2 Ru 3.27
Ru: 0.5000 0.5000 0.0000  8 Tl 2.88

---

Record 2
LaNb2CdP | PBE | optimized geometry

Computed properties:
Formation energy from the elements   0.125 eV per atom
Symmetry   P4/mmm, No. 123
Size of the total moment   0.00 μB/cell

Cell: 4.7978 4.7978 5.0581 Å, 90.00 90.00 90.00°
Last column: nearest neighbours and their distance in Å.
Fractional positions:
La: 0.0000 0.0000 0.0000  4 Cd 3.39, 8 Nb 3.49
Nb: 0.0000 0.5000 0.5000  2 P 2.40
Nb: 0.5000 0.0000 0.5000  2 P 2.40
Cd: 0.5000 0.5000 0.0000  2 P 2.53
P: 0.5000 0.5000 0.5000  4 Nb 2.40, 2 Cd 2.53

---

Record 3
LiSe | PBE | optimized geometry

Computed properties:
Polymorph energy (0 for the lowest one)   14.6 kJ per mole of atoms
ΔE_f (raw)   -759 meV/atom
Symmetry   Fddd, No. 70
Size of the total moment   0.00 μB/cell

Cell: 8.5107 8.4233 5.3751 Å, 72.38 70.61 37.01°
Last column: nearest neighbours and their distance in Å.
Fractional positions:
Li: 0.0805 0.6695 0.0805  4 Se 2.56-2.60
Li: 0.3305 0.9195 0.3305  4 Se 2.56-2.60
Li: 0.6695 0.0805 0.6695  4 Se 2.56-2.60
Li: 0.9195 0.3305 0.9195  4 Se 2.56-2.60
Se: 0.0103 0.0103 0.7397  4 Li 2.56-2.60, 2 Se 2.71
Se: 0.2603 0.2603 0.9897  4 Li 2.56-2.60, 2 Se 2.71
Se: 0.7397 0.7397 0.0103  4 Li 2.56-2.60, 2 Se 2.71
Se: 0.9897 0.9897 0.2603  4 Li 2.56-2.60, 2 Se 2.71